Compound: Ag5Pd12Au
Source: the Alexandria database
Functional: PBE-GGA
Structure: optimized geometry

Computed properties:
As for the symmetry: C2/m. The formation energy comes out at -0.0174 eV/atom. As for the density of states at the Fermi level: 35.72 states/eV per cell.

Lattice parameters (Å, degrees): 8.455 8.455 4.942 106.09 106.09 60.41
Positions (direct):
Ag: 0.000 0.000 0.000
Ag: 0.166 0.166 0.833
Ag: 0.333 0.333 0.667
Ag: 0.667 0.667 0.333
Ag: 0.834 0.834 0.167
Pd: 0.001 0.665 0.667
Pd: 0.164 0.501 0.167
Pd: 0.168 0.832 0.500
Pd: 0.332 0.668 0.000
Pd: 0.335 0.999 0.333
Pd: 0.498 0.836 0.833
Pd: 0.501 0.164 0.167
Pd: 0.665 0.001 0.667
Pd: 0.668 0.332 0.000
Pd: 0.832 0.168 0.500
Pd: 0.836 0.498 0.833
Pd: 0.999 0.335 0.333
Au: 0.500 0.500 0.500

---

Compound: Ag6Pd3Au2
Source: the Alexandria database
Functional: PBE-GGA
Structure: optimized geometry

Computed properties:
As for the symmetry: I4/mmm. The formation energy comes out at 0.1820 eV/atom. As for the density of states at the Fermi level: 3.12 states/eV per cell.

Lattice parameters (Å, degrees): 13.848 13.848 13.848 163.59 163.59 23.29
Positions (direct):
Ag: 0.071 0.571 0.500
Ag: 0.246 0.246 0.000
Ag: 0.429 0.929 0.500
Ag: 0.571 0.071 0.500
Ag: 0.754 0.754 0.000
Ag: 0.929 0.429 0.500
Pd: 0.000 0.000 0.000
Pd: 0.147 0.147 0.000
Pd: 0.853 0.853 0.000
Au: 0.347 0.347 0.000
Au: 0.653 0.653 0.000

---

Compound: Ag6PdAu5
Source: the Alexandria database
Functional: PBE-GGA
Structure: optimized geometry

Computed properties:
As for the symmetry: C2/m. The formation energy comes out at -0.0588 eV/atom. As for the density of states at the Fermi level: 3.35 states/eV per cell.

Lattice parameters (Å, degrees): 7.709 7.709 4.138 105.49 105.49 105.88
Positions (direct):
Ag: 0.083 0.414 0.748
Ag: 0.247 0.247 0.247
Ag: 0.414 0.083 0.748
Ag: 0.586 0.917 0.252
Ag: 0.753 0.753 0.753
Ag: 0.917 0.586 0.252
Pd: 0.000 0.000 0.500
Au: 0.165 0.835 0.000
Au: 0.333 0.667 0.500
Au: 0.500 0.500 0.000
Au: 0.667 0.333 0.500
Au: 0.835 0.165 0.000

---

Compound: Ag2Pd15Au2
Source: the Alexandria database
Functional: PBE-GGA
Structure: optimized geometry

Computed properties:
As for the symmetry: R-3m. The formation energy comes out at 0.1759 eV/atom. As for the density of states at the Fermi level: 21.98 states/eV per cell.

Lattice parameters (Å, degrees): 6.944 6.944 6.944 81.12 81.12 81.12
Positions (direct):
Ag: 0.098 0.098 0.098
Ag: 0.902 0.902 0.902
Pd: 0.000 0.000 0.500
Pd: 0.000 0.328 0.672
Pd: 0.000 0.500 0.000
Pd: 0.000 0.672 0.328
Pd: 0.170 0.660 0.660
Pd: 0.328 0.000 0.672
Pd: 0.328 0.672 0.000
Pd: 0.340 0.340 0.830
Pd: 0.340 0.830 0.340
Pd: 0.500 0.000 0.000
Pd: 0.660 0.170 0.660
Pd: 0.660 0.660 0.170
Pd: 0.672 0.000 0.328
Pd: 0.672 0.328 0.000
Pd: 0.830 0.340 0.340
Au: 0.325 0.325 0.325
Au: 0.675 0.675 0.675

---

Compound: AgPd4Au2
Source: the Alexandria database
Functional: PBE-GGA
Structure: optimized geometry

Computed properties:
As for the symmetry: Pmmm. The formation energy comes out at 0.0962 eV/atom. As for the density of states at the Fermi level: 7.57 states/eV per cell.

Lattice parameters (Å, degrees): 2.819 5.592 7.956 90.00 90.00 90.00
Positions (direct):
Ag: 0.000 0.000 0.000
Pd: 0.500 0.259 0.261
Pd: 0.500 0.259 0.739
Pd: 0.500 0.741 0.261
Pd: 0.500 0.741 0.739
Au: 0.000 0.000 0.500
Au: 0.000 0.500 0.000

---

Compound: Ag2Pd3Au8
Source: the Alexandria database
Functional: PBE-GGA
Structure: optimized geometry

Computed properties:
As for the symmetry: Cmmm. The formation energy comes out at 0.0918 eV/atom. As for the density of states at the Fermi level: 6.42 states/eV per cell.

Lattice parameters (Å, degrees): 9.255 9.255 3.620 90.00 90.00 125.08
Positions (direct):
Ag: 0.243 0.757 0.000
Ag: 0.757 0.243 0.000
Pd: 0.252 0.252 0.500
Pd: 0.500 0.500 0.000
Pd: 0.748 0.748 0.500
Au: 0.106 0.894 0.500
Au: 0.119 0.382 0.000
Au: 0.372 0.628 0.500
Au: 0.382 0.119 0.000
Au: 0.618 0.881 0.000
Au: 0.628 0.372 0.500
Au: 0.881 0.618 0.000
Au: 0.894 0.106 0.500

---

Compound: Ag5Pd2Au
Source: the Alexandria database
Functional: PBE-GGA
Structure: optimized geometry

Computed properties:
As for the symmetry: Pbam. The formation energy comes out at -0.0604 eV/atom. As for the density of states at the Fermi level: 3.34 states/eV per cell.

Lattice parameters (Å, degrees): 5.741 11.527 4.152 90.00 90.00 90.00
Positions (direct):
Ag: 0.000 0.000 0.000
Ag: 0.004 0.250 0.000
Ag: 0.246 0.874 0.500
Ag: 0.254 0.374 0.500
Ag: 0.496 0.750 0.000
Ag: 0.500 0.500 0.000
Ag: 0.504 0.250 0.000
Ag: 0.746 0.626 0.500
Ag: 0.754 0.126 0.500
Ag: 0.996 0.750 0.000
Pd: 0.246 0.624 0.500
Pd: 0.254 0.124 0.500
Pd: 0.746 0.876 0.500
Pd: 0.754 0.376 0.500
Au: 0.000 0.500 0.000
Au: 0.500 0.000 0.000

---

Compound: AgPd3Au3
Source: the Alexandria database
Functional: PBE-GGA
Structure: optimized geometry

Computed properties:
As for the symmetry: P6_3/m. The formation energy comes out at -0.0524 eV/atom. As for the density of states at the Fermi level: 4.07 states/eV per cell.

Lattice parameters (Å, degrees): 7.580 7.580 4.749 90.00 90.00 120.00
Positions (direct):
Ag: 0.333 0.667 0.250
Ag: 0.667 0.333 0.750
Pd: 0.095 0.618 0.750
Pd: 0.382 0.477 0.750
Pd: 0.477 0.095 0.250
Pd: 0.523 0.905 0.750
Pd: 0.618 0.523 0.250
Pd: 0.905 0.382 0.250
Au: 0.044 0.802 0.250
Au: 0.198 0.242 0.250
Au: 0.242 0.044 0.750
Au: 0.758 0.956 0.250
Au: 0.802 0.758 0.750
Au: 0.956 0.198 0.750

---

Compound: AgPd3Au6
Source: the Alexandria database
Functional: PBE-GGA
Structure: optimized geometry

Computed properties:
As for the symmetry: P2_1/m. The formation energy comes out at -0.0092 eV/atom. As for the density of states at the Fermi level: 6.95 states/eV per cell.

Lattice parameters (Å, degrees): 9.733 2.824 13.354 90.00 106.87 90.00
Positions (direct):
Ag: 0.083 0.250 0.265
Ag: 0.917 0.750 0.735
Pd: 0.114 0.750 0.074
Pd: 0.360 0.250 0.434
Pd: 0.378 0.750 0.827
Pd: 0.622 0.250 0.173
Pd: 0.640 0.750 0.566
Pd: 0.886 0.250 0.926
Au: 0.119 0.750 0.469
Au: 0.153 0.250 0.892
Au: 0.156 0.250 0.678
Au: 0.347 0.250 0.220
Au: 0.390 0.750 0.039
Au: 0.390 0.750 0.622
Au: 0.610 0.250 0.378
Au: 0.610 0.250 0.961
Au: 0.653 0.750 0.780
Au: 0.844 0.750 0.322
Au: 0.847 0.750 0.108
Au: 0.881 0.250 0.531

---

Compound: Ag6PdAu3
Source: the Alexandria database
Functional: PBE-GGA
Structure: optimized geometry

Computed properties:
As for the symmetry: P2_1/m. The formation energy comes out at -0.0054 eV/atom. As for the density of states at the Fermi level: 5.22 states/eV per cell.

Lattice parameters (Å, degrees): 9.561 2.884 13.739 90.00 109.12 90.00
Positions (direct):
Ag: 0.094 0.250 0.256
Ag: 0.129 0.250 0.676
Ag: 0.159 0.250 0.893
Ag: 0.365 0.750 0.615
Ag: 0.369 0.750 0.409
Ag: 0.402 0.750 0.041
Ag: 0.598 0.250 0.959
Ag: 0.631 0.250 0.591
Ag: 0.635 0.250 0.385
Ag: 0.841 0.750 0.107
Ag: 0.871 0.750 0.324
Ag: 0.906 0.750 0.744
Pd: 0.361 0.750 0.820
Pd: 0.639 0.250 0.180
Au: 0.121 0.750 0.073
Au: 0.123 0.250 0.467
Au: 0.369 0.250 0.220
Au: 0.631 0.750 0.780
Au: 0.877 0.750 0.533
Au: 0.879 0.250 0.927

---

Compound: Ag4Pd3Au3
Source: the Alexandria database
Functional: PBE-GGA
Structure: optimized geometry

Computed properties:
As for the symmetry: Amm2. The formation energy comes out at 0.1187 eV/atom. As for the density of states at the Fermi level: 3.12 states/eV per cell.

Lattice parameters (Å, degrees): 2.817 8.228 8.228 103.29 90.00 90.00
Positions (direct):
Ag: 0.000 0.000 0.000
Ag: 0.000 0.268 0.268
Ag: 0.000 0.465 0.781
Ag: 0.000 0.781 0.465
Pd: 0.500 0.301 0.981
Pd: 0.500 0.768 0.768
Pd: 0.500 0.981 0.301
Au: 0.000 0.099 0.684
Au: 0.000 0.684 0.099
Au: 0.500 0.495 0.495

---

Compound: Ag2PdAu4
Source: the Alexandria database
Functional: PBE-GGA
Structure: optimized geometry

Computed properties:
As for the symmetry: Cmmm. The formation energy comes out at -0.0092 eV/atom. As for the density of states at the Fermi level: 5.59 states/eV per cell.

Lattice parameters (Å, degrees): 2.937 29.443 2.901 90.00 90.00 90.00
Positions (direct):
Ag: 0.000 0.209 0.000
Ag: 0.000 0.791 0.000
Ag: 0.500 0.291 0.000
Ag: 0.500 0.709 0.000
Pd: 0.000 0.500 0.500
Pd: 0.500 0.000 0.500
Au: 0.000 0.066 0.000
Au: 0.000 0.362 0.500
Au: 0.000 0.638 0.500
Au: 0.000 0.934 0.000
Au: 0.500 0.138 0.500
Au: 0.500 0.434 0.000
Au: 0.500 0.566 0.000
Au: 0.500 0.862 0.500

---

Compound: Ag7Pd3Au
Source: the Alexandria database
Functional: PBE-GGA
Structure: optimized geometry

Computed properties:
As for the symmetry: P3m1. The formation energy comes out at 0.0621 eV/atom. As for the density of states at the Fermi level: 2.86 states/eV per cell.

Lattice parameters (Å, degrees): 5.765 5.765 6.956 90.00 90.00 120.00
Positions (direct):
Ag: 0.000 0.000 0.000
Ag: 0.004 0.502 0.999
Ag: 0.168 0.337 0.349
Ag: 0.168 0.832 0.349
Ag: 0.498 0.502 0.999
Ag: 0.498 0.996 0.999
Ag: 0.663 0.832 0.349
Pd: 0.333 0.167 0.674
Pd: 0.833 0.167 0.674
Pd: 0.833 0.667 0.674
Au: 0.667 0.333 0.349

---

Compound: Ag3PdAu5
Source: the Alexandria database
Functional: PBE-GGA
Structure: optimized geometry

Computed properties:
As for the symmetry: I4/mcm. The formation energy comes out at 0.2462 eV/atom. As for the density of states at the Fermi level: 6.20 states/eV per cell.

Lattice parameters (Å, degrees): 7.943 7.943 7.943 119.84 119.84 90.27
Positions (direct):
Ag: 0.112 0.612 0.724
Ag: 0.250 0.250 0.000
Ag: 0.388 0.112 0.500
Ag: 0.612 0.888 0.500
Ag: 0.750 0.750 0.000
Ag: 0.888 0.388 0.276
Pd: 0.250 0.750 0.500
Pd: 0.750 0.250 0.500
Au: 0.000 0.000 0.000
Au: 0.064 0.164 0.500
Au: 0.164 0.664 0.100
Au: 0.336 0.436 0.500
Au: 0.436 0.936 0.100
Au: 0.500 0.500 0.000
Au: 0.564 0.064 0.900
Au: 0.664 0.564 0.500
Au: 0.836 0.336 0.900
Au: 0.936 0.836 0.500

---

Compound: Ag9PdAu2
Source: the Alexandria database
Functional: PBE-GGA
Structure: optimized geometry

Computed properties:
As for the symmetry: P4/mmm. The formation energy comes out at -0.0258 eV/atom. As for the density of states at the Fermi level: 4.24 states/eV per cell.

Lattice parameters (Å, degrees): 4.158 4.158 12.241 90.00 90.00 90.00
Positions (direct):
Ag: 0.000 0.000 0.000
Ag: 0.000 0.000 0.332
Ag: 0.000 0.000 0.668
Ag: 0.000 0.500 0.163
Ag: 0.000 0.500 0.500
Ag: 0.000 0.500 0.837
Ag: 0.500 0.000 0.163
Ag: 0.500 0.000 0.500
Ag: 0.500 0.000 0.837
Pd: 0.500 0.500 0.000
Au: 0.500 0.500 0.331
Au: 0.500 0.500 0.669

---

Compound: Ag9Pd2Au
Source: the Alexandria database
Functional: PBE-GGA
Structure: optimized geometry

Computed properties:
As for the symmetry: P-1. The formation energy comes out at -0.0264 eV/atom. As for the density of states at the Fermi level: 3.94 states/eV per cell.

Lattice parameters (Å, degrees): 5.062 6.496 6.496 83.50 82.80 82.66
Positions (direct):
Ag: 0.000 0.000 0.000
Ag: 0.003 0.671 0.335
Ag: 0.249 0.585 0.914
Ag: 0.251 0.246 0.254
Ag: 0.497 0.164 0.829
Ag: 0.503 0.836 0.171
Ag: 0.749 0.754 0.746
Ag: 0.751 0.415 0.086
Ag: 0.997 0.329 0.665
Pd: 0.250 0.915 0.583
Pd: 0.750 0.085 0.417
Au: 0.500 0.500 0.500

---

Compound: AgPdAu3
Source: the Alexandria database
Functional: PBE-GGA
Structure: optimized geometry

Computed properties:
As for the symmetry: Pm-3m. The formation energy comes out at 0.9912 eV/atom. As for the density of states at the Fermi level: 2.05 states/eV per cell.

Lattice parameters (Å, degrees): 5.029 5.029 5.029 90.00 90.00 90.00
Positions (direct):
Ag: 0.000 0.000 0.000
Pd: 0.500 0.500 0.500
Au: 0.000 0.000 0.500
Au: 0.000 0.500 0.000
Au: 0.500 0.000 0.000

---

Compound: AgPd6Au
Source: the Alexandria database
Functional: PBE-GGA
Structure: optimized geometry

Computed properties:
As for the symmetry: P4/mmm. The formation energy comes out at -0.0323 eV/atom. As for the density of states at the Fermi level: 9.24 states/eV per cell.

Lattice parameters (Å, degrees): 3.996 3.996 8.004 90.00 90.00 90.00
Positions (direct):
Ag: 0.000 0.000 0.000
Pd: 0.000 0.500 0.249
Pd: 0.000 0.500 0.751
Pd: 0.500 0.000 0.249
Pd: 0.500 0.000 0.751
Pd: 0.500 0.500 0.000
Pd: 0.500 0.500 0.500
Au: 0.000 0.000 0.500